# 1
# Li2HgPdO, optimized geometry, DFT PBE
# **Theoretical density**: 7.9 g/cm3
# **VASP energy**: -3.715 eV per atom
# **Energy relative to the elements, uncorrected**: -0.8586 eV/atom
data_Li2HgPdO
_symmetry_space_group_name_H-M 'P 4/m m m'
_symmetry_Int_Tables_number 123
_symmetry_space_group_name_Hall '-P 4 2'
_cell_length_a 3.954
_cell_length_b 3.954
_cell_length_c 4.549
_cell_angle_alpha 90.00
_cell_angle_beta 90.00
_cell_angle_gamma 90.00
loop_
_atom_site_label
_atom_site_fract_x
_atom_site_fract_y
_atom_site_fract_z
_atom_site_occupancy
Li1 0.000 0.500 0.000 1
Hg1 0.000 0.000 0.500 1
Pd1 0.500 0.500 0.500 1
O1 0.500 0.500 0.000 1

***

# 2
# Li2PuHgO6, optimized geometry, DFT PBE
# **Theoretical density**: 6.2 g/cm3
# **VASP energy**: -6.405 eV per atom
# **Energy relative to the elements, uncorrected**: -1.5844 eV/atom
data_Li2PuHgO6
_symmetry_space_group_name_H-M 'C 1 2/c 1'
_symmetry_Int_Tables_number 15
_cell_length_a 11.784
_cell_length_b 9.852
_cell_length_c 5.975
_cell_angle_alpha 90.00
_cell_angle_beta 120.44
_cell_angle_gamma 90.00
loop_
_symmetry_equiv_pos_as_xyz
'x,y,z'
'-x,-y,-z'
'-x,y,-z+1/2'
'x,-y,z+1/2'
'x+1/2,y+1/2,z'
'-x+1/2,-y+1/2,-z'
'-x+1/2,y+1/2,-z+1/2'
'x+1/2,-y+1/2,z+1/2'
loop_
_atom_site_label
_atom_site_fract_x
_atom_site_fract_y
_atom_site_fract_z
_atom_site_occupancy
Li1 0.214 0.053 0.280 1
Pu1 0.000 0.222 0.250 1
Hg1 0.000 0.397 0.750 1
O1 0.100 0.383 0.539 1
O2 0.121 0.082 0.486 1
O3 0.121 0.225 0.135 1

***

# 3
# LiPuHg2O6, optimized geometry, DFT PBE
# **Theoretical density**: 9.4 g/cm3
# **VASP energy**: -6.039 eV per atom
# **Energy relative to the elements, uncorrected**: -1.3794 eV/atom
data_LiPuHg2O6
_symmetry_space_group_name_H-M 'P 1 21/c 1'
_symmetry_Int_Tables_number 14
_cell_length_a 5.609
_cell_length_b 5.712
_cell_length_c 9.883
_cell_angle_alpha 90.00
_cell_angle_beta 123.31
_cell_angle_gamma 90.00
loop_
_symmetry_equiv_pos_as_xyz
'x,y,z'
'-x,-y,-z'
'-x,y+1/2,-z+1/2'
'x,-y+1/2,z+1/2'
loop_
_atom_site_label
_atom_site_fract_x
_atom_site_fract_y
_atom_site_fract_z
_atom_site_occupancy
Li1 0.000 0.000 0.000 1
Pu1 0.500 0.000 0.500 1
Hg1 0.253 0.044 0.751 1
O1 0.160 0.058 0.258 1
O2 0.252 0.682 0.048 1
O3 0.393 0.205 0.063 1

***

# 4
# LiPu2HgO8, optimized geometry, DFT PBE
# **Theoretical density**: 8.1 g/cm3
# **VASP energy**: -7.855 eV per atom
# **Energy relative to the elements, uncorrected**: -1.9763 eV/atom
data_LiPu2HgO8
_symmetry_space_group_name_H-M 'C m m m'
_symmetry_Int_Tables_number 65
_symmetry_space_group_name_Hall '-C 2 2'
_cell_length_a 6.817
_cell_length_b 7.067
_cell_length_c 7.051
_cell_angle_alpha 90.00
_cell_angle_beta 90.00
_cell_angle_gamma 90.00
loop_
_atom_site_label
_atom_site_fract_x
_atom_site_fract_y
_atom_site_fract_z
_atom_site_occupancy
Li1 0.000 0.000 0.000 1
Pu1 0.000 0.500 0.241 1
Hg1 0.000 0.000 0.500 1
O1 0.000 0.237 0.235 1
O2 0.188 0.500 0.000 1
O3 0.188 0.500 0.500 1

***

# 5
# Li2PuHg3O6, optimized geometry, DFT PBE
# **Theoretical density**: 9.0 g/cm3
# **VASP energy**: -5.426 eV per atom
# **Energy relative to the elements, uncorrected**: -1.3584 eV/atom
data_Li2PuHg3O6
_symmetry_space_group_name_H-M 'C 1 2/m 1'
_symmetry_Int_Tables_number 12
_cell_length_a 5.633
_cell_length_b 9.532
_cell_length_c 6.862
_cell_angle_alpha 90.00
_cell_angle_beta 106.68
_cell_angle_gamma 90.00
loop_
_symmetry_equiv_pos_as_xyz
'x,y,z'
'-x,-y,-z'
'-x,y,-z'
'x,-y,z'
'x+1/2,y+1/2,z'
'-x+1/2,-y+1/2,-z'
'-x+1/2,y+1/2,-z'
'x+1/2,-y+1/2,z'
loop_
_atom_site_label
_atom_site_fract_x
_atom_site_fract_y
_atom_site_fract_z
_atom_site_occupancy
Li1 0.000 0.189 0.000 1
Pu1 0.000 0.500 0.000 1
Hg1 0.000 0.000 0.500 1
Hg2 0.000 0.310 0.500 1
O1 0.143 0.500 0.737 1
O2 0.235 0.355 0.127 1

***

# 6
# Li2ReHgO, optimized geometry, DFT PBE
# **Theoretical density**: 8.6 g/cm3
# **VASP energy**: -4.023 eV per atom
# **Energy relative to the elements, uncorrected**: 0.2843 eV/atom
data_Li2ReHgO
_symmetry_space_group_name_H-M 'P 4/m m m'
_symmetry_Int_Tables_number 123
_symmetry_space_group_name_Hall '-P 4 2'
_cell_length_a 3.806
_cell_length_b 3.806
_cell_length_c 5.545
_cell_angle_alpha 90.00
_cell_angle_beta 90.00
_cell_angle_gamma 90.00
loop_
_atom_site_label
_atom_site_fract_x
_atom_site_fract_y
_atom_site_fract_z
_atom_site_occupancy
Li1 0.000 0.500 0.000 1
Re1 0.000 0.000 0.500 1
Hg1 0.500 0.500 0.500 1
O1 0.500 0.500 0.000 1

***

# 7
# LiHg3Rh3O8, optimized geometry, DFT PBE
# **Theoretical density**: 8.0 g/cm3
# **VASP energy**: -4.927 eV per atom
# **Energy relative to the elements, uncorrected**: -0.6245 eV/atom
data_LiHg3Rh3O8
_symmetry_space_group_name_H-M 'P -1'
_symmetry_Int_Tables_number 2
_cell_length_a 6.188
_cell_length_b 6.189
_cell_length_c 7.421
_cell_angle_alpha 114.58
_cell_angle_beta 90.11
_cell_angle_gamma 119.77
loop_
_symmetry_equiv_pos_as_xyz
'x,y,z'
'-x,-y,-z'
loop_
_atom_site_label
_atom_site_fract_x
_atom_site_fract_y
_atom_site_fract_z
_atom_site_occupancy
Li1 0.000 0.000 0.000 1
Hg1 0.000 0.000 0.500 1
Hg2 0.500 0.000 0.500 1
Hg3 0.500 0.500 0.500 1
Rh1 0.000 0.500 0.000 1
Rh2 0.500 0.000 0.000 1
Rh3 0.500 0.500 0.000 1
O1 0.119 0.236 0.839 1
O2 0.129 0.720 0.848 1
O3 0.383 0.766 0.150 1
O4 0.396 0.280 0.161 1

***

# 8
# Li2HgRhO4, optimized geometry, DFT PBE
# **Theoretical density**: 7.0 g/cm3
# **VASP energy**: -4.919 eV per atom
# **Energy relative to the elements, uncorrected**: -1.0048 eV/atom
data_Li2HgRhO4
_symmetry_space_group_name_H-M 'P 1 2/m 1'
_symmetry_Int_Tables_number 10
_cell_length_a 5.520
_cell_length_b 3.054
_cell_length_c 5.881
_cell_angle_alpha 90.00
_cell_angle_beta 113.65
_cell_angle_gamma 90.00
loop_
_symmetry_equiv_pos_as_xyz
'x,y,z'
'-x,-y,-z'
'-x,y,-z'
'x,-y,z'
loop_
_atom_site_label
_atom_site_fract_x
_atom_site_fract_y
_atom_site_fract_z
_atom_site_occupancy
Li1 0.000 0.000 0.000 1
Li2 0.500 0.500 0.500 1
Hg1 0.000 0.000 0.500 1
Rh1 0.500 0.500 0.000 1
O1 0.110 0.500 0.826 1
O2 0.477 0.000 0.230 1

***

# 9
# LiHgRuO4, optimized geometry, DFT PBE
# **Theoretical density**: 4.7 g/cm3
# **VASP energy**: -5.368 eV per atom
# **Energy relative to the elements, uncorrected**: -0.8935 eV/atom
data_LiHgRuO4
_symmetry_space_group_name_H-M 'P 1 21/m 1'
_symmetry_Int_Tables_number 11
_cell_length_a 5.823
_cell_length_b 5.692
_cell_length_c 8.129
_cell_angle_alpha 90.00
_cell_angle_beta 103.46
_cell_angle_gamma 90.00
loop_
_symmetry_equiv_pos_as_xyz
'x,y,z'
'-x,-y,-z'
'-x,y+1/2,-z'
'x,-y+1/2,z'
loop_
_atom_site_label
_atom_site_fract_x
_atom_site_fract_y
_atom_site_fract_z
_atom_site_occupancy
Li1 0.125 0.250 0.482 1
Hg1 0.024 0.250 0.981 1
Ru1 0.370 0.750 0.721 1
O1 0.178 0.509 0.650 1
O2 0.375 0.250 0.359 1
O3 0.454 0.750 0.941 1

***

# 10
# Li2Hg3RuO6, optimized geometry, DFT PBE
# **Theoretical density**: 8.1 g/cm3
# **VASP energy**: -4.505 eV per atom
# **Energy relative to the elements, uncorrected**: -0.8587 eV/atom
data_Li2Hg3RuO6
_symmetry_space_group_name_H-M 'C 1 2/m 1'
_symmetry_Int_Tables_number 12
_cell_length_a 5.570
_cell_length_b 9.596
_cell_length_c 6.472
_cell_angle_alpha 90.00
_cell_angle_beta 106.78
_cell_angle_gamma 90.00
loop_
_symmetry_equiv_pos_as_xyz
'x,y,z'
'-x,-y,-z'
'-x,y,-z'
'x,-y,z'
'x+1/2,y+1/2,z'
'-x+1/2,-y+1/2,-z'
'-x+1/2,y+1/2,-z'
'x+1/2,-y+1/2,z'
loop_
_atom_site_label
_atom_site_fract_x
_atom_site_fract_y
_atom_site_fract_z
_atom_site_occupancy
Li1 0.000 0.167 0.000 1
Hg1 0.000 0.000 0.500 1
Hg2 0.000 0.342 0.500 1
Ru1 0.000 0.500 0.000 1
O1 0.095 0.346 0.832 1
O2 0.140 0.000 0.832 1

***

# 11
# Li2Hg2RuO6, optimized geometry, DFT PBE
# **Theoretical density**: 7.5 g/cm3
# **VASP energy**: -4.791 eV per atom
# **Energy relative to the elements, uncorrected**: -0.8404 eV/atom
data_Li2Hg2RuO6
_symmetry_space_group_name_H-M 'C 1 2/m 1'
_symmetry_Int_Tables_number 12
_cell_length_a 5.469
_cell_length_b 8.837
_cell_length_c 5.820
_cell_angle_alpha 90.00
_cell_angle_beta 105.44
_cell_angle_gamma 90.00
loop_
_symmetry_equiv_pos_as_xyz
'x,y,z'
'-x,-y,-z'
'-x,y,-z'
'x,-y,z'
'x+1/2,y+1/2,z'
'-x+1/2,-y+1/2,-z'
'-x+1/2,y+1/2,-z'
'x+1/2,-y+1/2,z'
loop_
_atom_site_label
_atom_site_fract_x
_atom_site_fract_y
_atom_site_fract_z
_atom_site_occupancy
Li1 0.000 0.159 0.000 1
Hg1 0.000 0.188 0.500 1
Ru1 0.000 0.500 0.000 1
O1 0.116 0.346 0.824 1
O2 0.143 0.000 0.783 1